The following is a PBE with a Hubbard U calculation of VCuO2 after structural relaxation, from Alexandria via LeMat-Bulk.

Cell: 3.749 3.749 3.749 Å, 60.00 60.00 60.00°
Sites, in units of the cell vectors:
1 V 0.000 0.000 0.000
2 Cu 0.500 0.500 0.500
3 O 0.250 0.250 0.250
4 O 0.750 0.750 0.750

Summary:
- symmetry = Fm-3m
- total energy (eV/atom) = -6.1349